(1)
! Ac2U3PaN8 (PBE-GGA, optimized geometry); values from VASP
&SYSTEM
  ibrav = 0, nat = 14, ntyp = 4
/
ATOMIC_SPECIES
Ac 227.00 Ac.upf
U 238.03 U.upf
Pa 231.04 Pa.upf
N 14.01 N.upf
ATOMIC_POSITIONS crystal
Ac 0.0000 0.0000 0.0000
Ac 0.3823 0.3823 0.3823
U 0.3796 0.3796 0.8837
U 0.3796 0.8837 0.3796
U 0.8837 0.3796 0.3796
Pa 0.7602 0.7602 0.7602
N 0.1334 0.1334 0.5657
N 0.1334 0.5657 0.1334
N 0.1488 0.6428 0.6428
N 0.1528 0.1528 0.1528
N 0.5657 0.1334 0.1334
N 0.6246 0.6246 0.6246
N 0.6428 0.1487 0.6428
N 0.6428 0.6428 0.1487
CELL_PARAMETERS angstrom
3.5092 2.0261 5.9195
-3.5092 2.0261 5.9195
0.0000 -4.0521 5.9195
! - crystal system = trigonal
! - DFT total energy (eV per atom) = -9.6915
! - E_form (uncorrected) (kJ/mol of atoms) = -121

=====

(2)
! Lu2TePt (PBE-GGA, optimized geometry); values from VASP
&SYSTEM
  ibrav = 0, nat = 12, ntyp = 3
/
ATOMIC_SPECIES
Lu 174.97 Lu.upf
Te 127.60 Te.upf
Pt 195.08 Pt.upf
ATOMIC_POSITIONS crystal
Lu 0.0000 0.0000 0.2364
Lu 0.0000 0.0000 0.7636
Lu 0.3333 0.6667 0.4303
Lu 0.3333 0.6667 0.9031
Lu 0.6667 0.3333 0.0969
Lu 0.6667 0.3333 0.5697
Te 0.0000 0.0000 0.0000
Te 0.3333 0.6667 0.6667
Te 0.6667 0.3333 0.3333
Pt 0.0000 0.0000 0.5000
Pt 0.3333 0.6667 0.1667
Pt 0.6667 0.3333 0.8333
CELL_PARAMETERS angstrom
4.0811 0.0000 0.0000
-2.0406 3.5344 0.0000
0.0000 0.0000 21.5089
! - crystal system = trigonal
! - DFT total energy (eV per atom) = -5.8050
! - E_form (uncorrected) (kJ/mol of atoms) = -120

=====

(3)
! CsNdBe2Br8 (PBE-GGA, optimized geometry); values from VASP
&SYSTEM
  ibrav = 0, nat = 12, ntyp = 4
/
ATOMIC_SPECIES
Cs 132.91 Cs.upf
Nd 144.24 Nd.upf
Be 9.01 Be.upf
Br 79.90 Br.upf
ATOMIC_POSITIONS crystal
Cs 0.0000 0.0000 0.0000
Nd 0.5000 0.5000 0.5000
Be 0.2453 0.2453 0.2453
Be 0.7547 0.7547 0.7547
Br 0.0877 0.4638 0.7851
Br 0.2149 0.9123 0.5362
Br 0.3115 0.3115 0.3115
Br 0.4638 0.7851 0.0877
Br 0.5362 0.2149 0.9123
Br 0.6885 0.6885 0.6885
Br 0.7851 0.0877 0.4638
Br 0.9123 0.5362 0.2149
CELL_PARAMETERS angstrom
3.3660 1.9434 10.6416
-3.3660 1.9434 10.6416
0.0000 -3.8867 10.6416
! - crystal system = trigonal
! - DFT total energy (eV per atom) = -3.6195
! - E_form (uncorrected) (kJ/mol of atoms) = -137

=====

(4)
! LiCdTeMoBr (PBE-GGA, optimized geometry); values from VASP
&SYSTEM
  ibrav = 0, nat = 5, ntyp = 5
/
ATOMIC_SPECIES
Li 6.94 Li.upf
Cd 112.41 Cd.upf
Te 127.60 Te.upf
Mo 95.94 Mo.upf
Br 79.90 Br.upf
ATOMIC_POSITIONS crystal
Li 0.0000 0.0000 0.0000
Cd 0.6057 0.6096 0.2230
Te 0.7595 0.7682 0.5459
Mo 0.1904 0.1970 0.4010
Br 0.4619 0.4608 0.9205
CELL_PARAMETERS angstrom
3.4025 0.0000 0.0000
-0.0001 3.4026 0.0000
-1.6244 -1.6741 9.8846
! - ΔE to the lowest computed polymorph (meV/atom) = 18.4
! - crystal system = triclinic
! - DFT total energy (eV per atom) = -4.0609
! - E_form (uncorrected) (kJ/mol of atoms) = -35

=====

(5)
! ScHgSbPd2 (PBE-GGA, optimized geometry); values from VASP
&SYSTEM
  ibrav = 0, nat = 5, ntyp = 4
/
ATOMIC_SPECIES
Sc 44.96 Sc.upf
Hg 200.59 Hg.upf
Sb 121.76 Sb.upf
Pd 106.42 Pd.upf
ATOMIC_POSITIONS crystal
Sc 0.0000 0.0000 0.0000
Hg 0.5000 0.5000 0.0000
Sb 0.5000 0.5000 0.5000
Pd 0.0000 0.5000 0.5000
Pd 0.5000 0.0000 0.5000
CELL_PARAMETERS angstrom
4.9206 0.0000 0.0000
0.0000 4.9206 0.0000
0.0000 0.0000 5.3685
! - crystal system = tetragonal
! - DFT total energy (eV per atom) = -3.9772
! - E_form (uncorrected) (kJ/mol of atoms) = 24

=====

(6)
! BaFeP2 (PBE-GGA, optimized geometry); values from VASP
&SYSTEM
  ibrav = 0, nat = 16, ntyp = 3
/
ATOMIC_SPECIES
Ba 137.33 Ba.upf
Fe 55.84 Fe.upf
P 30.97 P.upf
ATOMIC_POSITIONS crystal
Ba 0.0000 0.0000 0.0000
Ba 0.0000 0.5000 0.5000
Ba 0.5000 0.0000 0.5000
Ba 0.5000 0.5000 0.0000
Fe 0.0000 0.0000 0.5000
Fe 0.0000 0.5000 0.0000
Fe 0.5000 0.0000 0.0000
Fe 0.5000 0.5000 0.5000
P 0.2500 0.2500 0.2500
P 0.2500 0.2500 0.7500
P 0.2500 0.7500 0.2500
P 0.2500 0.7500 0.7500
P 0.7500 0.2500 0.2500
P 0.7500 0.2500 0.7500
P 0.7500 0.7500 0.2500
P 0.7500 0.7500 0.7500
CELL_PARAMETERS angstrom
6.8161 0.0000 0.0000
0.0000 6.8161 0.0000
0.0000 0.0000 6.8161
! - ΔE to the lowest computed polymorph (meV/atom) = 1074.0
! - crystal system = cubic
! - energy of formation from the pure elements (eV per atom) = 0.5073
! - DFT total energy (eV per atom) = -4.7940

=====

(7)
! DyZrC (PBE-GGA, optimized geometry); values from VASP
&SYSTEM
  ibrav = 0, nat = 3, ntyp = 3
/
ATOMIC_SPECIES
Dy 162.50 Dy.upf
Zr 91.22 Zr.upf
C 12.01 C.upf
ATOMIC_POSITIONS crystal
Dy 0.0000 0.0000 0.0000
Zr 0.3333 0.6667 0.4508
C 0.6667 0.3333 0.2571
CELL_PARAMETERS angstrom
3.4416 0.0000 0.0000
-1.7208 2.9805 0.0000
0.0000 0.0000 5.8333
! - ΔE to the lowest computed polymorph (meV/atom) = 0.0
! - crystal system = trigonal
! - energy of formation from the pure elements (eV per atom) = -0.3709
! - DFT total energy (eV per atom) = -7.8290

=====

(8)
! Pr6P2S3O (PBE-GGA, optimized geometry); values from VASP
&SYSTEM
  ibrav = 0, nat = 12, ntyp = 4
/
ATOMIC_SPECIES
Pr 140.91 Pr.upf
P 30.97 P.upf
S 32.06 S.upf
O 16.00 O.upf
ATOMIC_POSITIONS crystal
Pr 0.9998 0.9998 0.2260
Pr 0.0002 0.0002 0.7740
Pr 0.3322 0.3322 0.4195
Pr 0.3473 0.3473 0.9210
Pr 0.6527 0.6527 0.0790
Pr 0.6678 0.6678 0.5805
P 0.1643 0.1643 0.3303
P 0.8357 0.8357 0.6697
S 0.1709 0.1709 0.8369
S 0.5000 0.5000 0.5000
S 0.8291 0.8291 0.1631
O 0.5000 0.5000 0.0000
CELL_PARAMETERS angstrom
8.9004 -2.0287 0.0000
8.9004 2.0287 0.0000
-2.0214 0.0000 7.9311
! - crystal system = monoclinic
! - DFT total energy (eV per atom) = -6.6834
! - E_form (uncorrected) (kJ/mol of atoms) = -188